(1)
DFT (PBE) results for a relaxed B4C crystal.

Cell and atoms, written as CIF:
```
data_B4C
_space_group_name_H-M_alt 'P 1'
_space_group_IT_number 1
_space_group_name_Hall 'P 1'
_cell_length_a 5.965
_cell_length_b 5.965
_cell_length_c 5.965
_cell_angle_alpha 154.42
_cell_angle_beta 55.38
_cell_angle_gamma 131.77
loop_
_atom_site_label
_atom_site_type_symbol
_atom_site_fract_x
_atom_site_fract_y
_atom_site_fract_z
B1 B 0.000 0.000 0.000
B2 B 0.159 0.981 0.178
B3 B 0.194 0.301 0.893
B4 B 0.408 0.301 0.107
B5 B 0.542 0.243 0.299
B6 B 0.748 0.248 0.500
B7 B 0.803 0.981 0.822
B8 B 0.943 0.243 0.701
C1 C 0.377 0.983 0.394
C2 C 0.589 0.983 0.606
```

## Properties
Symmetry: No. 44
DOS at the Fermi energy (states/eV per atom): 0.11
Crystal system: orthorhombic
Energy relative to the elements (eV per formula unit): 1.9
Energy above the lowest structure with this stoichiometry (kJ per mole of atoms): 47.3



(2)
DFT (PBE) results for a relaxed Ca2SiNi crystal.

Cell and atoms, written as CIF:
```
data_Ca2SiNi
_space_group_name_H-M_alt 'P 1'
_space_group_IT_number 1
_space_group_name_Hall 'P 1'
_cell_length_a 4.787
_cell_length_b 4.787
_cell_length_c 9.531
_cell_angle_alpha 90.00
_cell_angle_beta 90.00
_cell_angle_gamma 120.00
loop_
_atom_site_label
_atom_site_type_symbol
_atom_site_fract_x
_atom_site_fract_y
_atom_site_fract_z
Ca1 Ca 0.333 0.667 0.090
Ca2 Ca 0.333 0.667 0.410
Ca3 Ca 0.667 0.333 0.590
Ca4 Ca 0.667 0.333 0.910
Si1 Si 0.333 0.667 0.750
Si2 Si 0.667 0.333 0.250
Ni1 Ni 0.000 0.000 0.000
Ni2 Ni 0.000 0.000 0.500
```

## Properties
Symmetry: No. 194
DOS at the Fermi energy (states/eV per atom): 1.01
Crystal system: hexagonal
Formation energy (no corrections) (kJ/mol of atoms): 29.9



(3)
DFT (PBE) results for a relaxed GaNi2Mo crystal.

Cell and atoms, written as CIF:
```
data_GaNi2Mo
_space_group_name_H-M_alt 'P 1'
_space_group_IT_number 1
_space_group_name_Hall 'P 1'
_cell_length_a 4.063
_cell_length_b 5.040
_cell_length_c 5.040
_cell_angle_alpha 30.16
_cell_angle_beta 90.00
_cell_angle_gamma 90.00
loop_
_atom_site_label
_atom_site_type_symbol
_atom_site_fract_x
_atom_site_fract_y
_atom_site_fract_z
Ga1 Ga 0.000 0.000 0.000
Ni1 Ni 0.000 0.266 0.266
Ni2 Ni 0.500 0.414 0.414
Mo1 Mo 0.500 0.671 0.671
```

## Properties
Symmetry: No. 38
DOS at the Fermi energy (states/eV per atom): 0.68
Crystal system: orthorhombic
Energy relative to the elements (eV per formula unit): -0.5



(4)
DFT (PBE) results for a relaxed GdInHg4 crystal.

Cell and atoms, written as CIF:
```
data_GdInHg4
_space_group_name_H-M_alt 'P 1'
_space_group_IT_number 1
_space_group_name_Hall 'P 1'
_cell_length_a 6.043
_cell_length_b 6.043
_cell_length_c 6.043
_cell_angle_alpha 60.00
_cell_angle_beta 60.00
_cell_angle_gamma 60.00
loop_
_atom_site_label
_atom_site_type_symbol
_atom_site_fract_x
_atom_site_fract_y
_atom_site_fract_z
Gd1 Gd 0.000 0.000 0.000
In1 In 0.750 0.750 0.750
Hg1 Hg 0.375 0.375 0.375
Hg2 Hg 0.375 0.375 0.875
Hg3 Hg 0.375 0.875 0.375
Hg4 Hg 0.875 0.375 0.375
```

## Properties
Symmetry: No. 216
DOS at the Fermi energy (states/eV per atom): 1.06
Crystal system: cubic
Energy relative to the elements (eV per formula unit): -0.5



(5)
DFT (PBE) results for a relaxed ZnCrPb2 crystal.

Cell and atoms, written as CIF:
```
data_ZnCrPb2
_space_group_name_H-M_alt 'P 1'
_space_group_IT_number 1
_space_group_name_Hall 'P 1'
_cell_length_a 3.754
_cell_length_b 4.504
_cell_length_c 5.749
_cell_angle_alpha 90.00
_cell_angle_beta 108.99
_cell_angle_gamma 90.00
loop_
_atom_site_label
_atom_site_type_symbol
_atom_site_fract_x
_atom_site_fract_y
_atom_site_fract_z
Zn1 Zn 0.000 0.000 0.000
Cr1 Cr 0.145 0.500 0.287
Pb1 Pb 0.421 0.500 0.842
Pb2 Pb 0.721 0.000 0.442
```

## Properties
Symmetry: No. 6
DOS at the Fermi energy (states/eV per atom): 0.65
Crystal system: monoclinic
Energy relative to the elements (eV per formula unit): 1.4



(6)
DFT (PBE) results for a relaxed CsTlHgPb crystal.

Cell and atoms, written as CIF:
```
data_CsTlHgPb
_space_group_name_H-M_alt 'P 1'
_space_group_IT_number 1
_space_group_name_Hall 'P 1'
_cell_length_a 4.001
_cell_length_b 4.001
_cell_length_c 9.260
_cell_angle_alpha 90.00
_cell_angle_beta 90.00
_cell_angle_gamma 90.00
loop_
_atom_site_label
_atom_site_type_symbol
_atom_site_fract_x
_atom_site_fract_y
_atom_site_fract_z
Cs1 Cs 0.000 0.000 0.000
Tl1 Tl 0.000 0.000 0.484
Hg1 Hg 0.500 0.500 0.283
Pb1 Pb 0.500 0.500 0.677
```

## Properties
Symmetry: No. 99
DOS at the Fermi energy (states/eV per atom): 0.59
Crystal system: tetragonal
Energy relative to the elements (eV per formula unit): -0.4
Energy above the lowest structure with this stoichiometry (kJ per mole of atoms): 0.0



(7)
DFT (PBE) results for a relaxed Ca2MoAu crystal.

Cell and atoms, written as CIF:
```
data_Ca2MoAu
_space_group_name_H-M_alt 'P 1'
_space_group_IT_number 1
_space_group_name_Hall 'P 1'
_cell_length_a 5.131
_cell_length_b 5.131
_cell_length_c 3.660
_cell_angle_alpha 90.00
_cell_angle_beta 90.00
_cell_angle_gamma 90.00
loop_
_atom_site_label
_atom_site_type_symbol
_atom_site_fract_x
_atom_site_fract_y
_atom_site_fract_z
Ca1 Ca 0.000 0.500 0.000
Ca2 Ca 0.500 0.000 0.000
Mo1 Mo 0.000 0.000 0.500
Au1 Au 0.500 0.500 0.500
```

## Properties
Symmetry: No. 123
DOS at the Fermi energy (states/eV per atom): 0.41
Crystal system: tetragonal
Energy relative to the elements (eV per formula unit): 1.1
Energy above the lowest structure with this stoichiometry (kJ per mole of atoms): 7.7



(8)
DFT (PBE) results for a relaxed CoSbOs2 crystal.

Cell and atoms, written as CIF:
```
data_CoSbOs2
_space_group_name_H-M_alt 'P 1'
_space_group_IT_number 1
_space_group_name_Hall 'P 1'
_cell_length_a 2.866
_cell_length_b 3.749
_cell_length_c 5.632
_cell_angle_alpha 90.00
_cell_angle_beta 90.00
_cell_angle_gamma 90.00
loop_
_atom_site_label
_atom_site_type_symbol
_atom_site_fract_x
_atom_site_fract_y
_atom_site_fract_z
Co1 Co 0.000 0.000 0.000
Sb1 Sb 0.500 0.500 0.765
Os1 Os 0.000 0.000 0.457
Os2 Os 0.500 0.500 0.244
```

## Properties
Symmetry: No. 25
DOS at the Fermi energy (states/eV per atom): 1.01
Crystal system: orthorhombic
Formation energy (no corrections) (kJ/mol of atoms): 43.1
Energy above the lowest structure with this stoichiometry (kJ per mole of atoms): 0.2



(9)
DFT (PBE) results for a relaxed K2SmBe2O4 crystal.

Cell and atoms, written as CIF:
```
data_K2SmBe2O4
_space_group_name_H-M_alt 'P 1'
_space_group_IT_number 1
_space_group_name_Hall 'P 1'
_cell_length_a 6.472
_cell_length_b 6.472
_cell_length_c 8.675
_cell_angle_alpha 104.57
_cell_angle_beta 104.57
_cell_angle_gamma 30.66
loop_
_atom_site_label
_atom_site_type_symbol
_atom_site_fract_x
_atom_site_fract_y
_atom_site_fract_z
K1 K 0.154 0.154 0.171
K2 K 0.846 0.846 0.829
Sm1 Sm 0.000 0.000 0.500
Be1 Be 0.315 0.315 0.525
Be2 Be 0.685 0.685 0.475
O1 O 0.202 0.202 0.575
O2 O 0.436 0.436 0.632
O3 O 0.564 0.564 0.368
O4 O 0.798 0.798 0.425
```

## Properties
Symmetry: No. 12
DOS at the Fermi energy (states/eV per atom): 0.13
Crystal system: monoclinic
Formation energy (no corrections) (kJ/mol of atoms): -210.8



(10)
DFT (PBE) results for a relaxed KNiCl2 crystal.

Cell and atoms, written as CIF:
```
data_KNiCl2
_space_group_name_H-M_alt 'P 1'
_space_group_IT_number 1
_space_group_name_Hall 'P 1'
_cell_length_a 7.295
_cell_length_b 7.295
_cell_length_c 7.295
_cell_angle_alpha 151.33
_cell_angle_beta 149.48
_cell_angle_gamma 42.36
loop_
_atom_site_label
_atom_site_type_symbol
_atom_site_fract_x
_atom_site_fract_y
_atom_site_fract_z
K1 K 0.000 0.000 0.000
Ni1 Ni 0.272 0.772 0.500
Cl1 Cl 0.375 0.375 0.000
Cl2 Cl 0.670 0.170 0.500
```

## Properties
Symmetry: No. 44
DOS at the Fermi energy (states/eV per atom): 0.98
Crystal system: orthorhombic
Formation energy (no corrections) (kJ/mol of atoms): -69.4
Energy above the lowest structure with this stoichiometry (kJ per mole of atoms): 23.8



(11)
DFT (PBE) results for a relaxed AcCd2F8 crystal.

Cell and atoms, written as CIF:
```
data_AcCd2F8
_space_group_name_H-M_alt 'P 1'
_space_group_IT_number 1
_space_group_name_Hall 'P 1'
_cell_length_a 6.786
_cell_length_b 6.786
_cell_length_c 6.265
_cell_angle_alpha 107.53
_cell_angle_beta 107.53
_cell_angle_gamma 35.77
loop_
_atom_site_label
_atom_site_type_symbol
_atom_site_fract_x
_atom_site_fract_y
_atom_site_fract_z
Ac1 Ac 0.000 0.000 0.000
Cd1 Cd 0.349 0.349 0.354
Cd2 Cd 0.651 0.651 0.646
F1 F 0.112 0.112 0.725
F2 F 0.178 0.178 0.334
F3 F 0.361 0.361 0.989
F4 F 0.469 0.469 0.700
F5 F 0.531 0.531 0.300
F6 F 0.639 0.639 0.011
F7 F 0.822 0.822 0.666
F8 F 0.888 0.888 0.275
```

## Properties
Symmetry: No. 12
DOS at the Fermi energy (states/eV per atom): 0.71
Crystal system: monoclinic
Formation energy (no corrections) (kJ/mol of atoms): -254.8
Energy above the lowest structure with this stoichiometry (kJ per mole of atoms): 0.0



(12)
DFT (PBE) results for a relaxed GaHgSe2 crystal.

Cell and atoms, written as CIF:
```
data_GaHgSe2
_space_group_name_H-M_alt 'P 1'
_space_group_IT_number 1
_space_group_name_Hall 'P 1'
_cell_length_a 8.743
_cell_length_b 8.743
_cell_length_c 8.743
_cell_angle_alpha 25.25
_cell_angle_beta 25.25
_cell_angle_gamma 25.25
loop_
_atom_site_label
_atom_site_type_symbol
_atom_site_fract_x
_atom_site_fract_y
_atom_site_fract_z
Ga1 Ga 0.000 0.000 0.000
Hg1 Hg 0.500 0.500 0.500
Se1 Se 0.389 0.389 0.389
Se2 Se 0.611 0.611 0.611
```

## Properties
Symmetry: No. 166
DOS at the Fermi energy (states/eV per atom): 0.42
Crystal system: trigonal
Formation energy (no corrections) (kJ/mol of atoms): -18.3



> Number 6 is which compound?

CsTlHgPb